Entry 1:
MnNb14W: optimized geometry, GGA-PBE.

Cell and atoms, written as POSCAR:
```
MnNb14W
1.0
6.552 0.000 0.000
0.000 6.552 0.000
0.000 0.000 6.577
Mn Nb W
1 14 1
direct
0.000 0.000 0.000 Mn
0.000 0.000 0.500 Nb
0.000 0.500 0.000 Nb
0.000 0.500 0.500 Nb
0.247 0.247 0.243 Nb
0.247 0.247 0.757 Nb
0.247 0.753 0.243 Nb
0.247 0.753 0.757 Nb
0.500 0.000 0.000 Nb
0.500 0.000 0.500 Nb
0.500 0.500 0.500 Nb
0.753 0.247 0.243 Nb
0.753 0.247 0.757 Nb
0.753 0.753 0.243 Nb
0.753 0.753 0.757 Nb
0.500 0.500 0.000 W
```

Results
The volume comes out at 282.3 Å³/f.u. For the total magnetization, the calculation gives 0.01 μB/f.u. As for the formation energy: -0.016 eV per atom.

---

Entry 2:
Rb2YTlCl6: optimized geometry, GGA-PBE.

Cell and atoms, written as POSCAR:
```
Rb2YTlCl6
1.0
7.721 0.000 0.000
0.000 8.164 0.000
-7.613 0.000 11.082
Rb Y Tl Cl
4 2 2 12
direct
0.223 0.070 0.248 Rb
0.223 0.430 0.748 Rb
0.777 0.570 0.252 Rb
0.777 0.930 0.752 Rb
0.500 0.000 0.000 Y
0.500 0.500 0.500 Y
0.000 0.000 0.500 Tl
0.000 0.500 0.000 Tl
0.170 0.177 0.948 Cl
0.170 0.323 0.448 Cl
0.267 0.728 0.935 Cl
0.267 0.772 0.435 Cl
0.388 0.043 0.775 Cl
0.388 0.457 0.275 Cl
0.612 0.543 0.725 Cl
0.612 0.957 0.225 Cl
0.733 0.228 0.565 Cl
0.733 0.272 0.065 Cl
0.830 0.677 0.552 Cl
0.830 0.823 0.052 Cl
```

Results
For the formation energy from raw total energies, the calculation gives -188 kJ/mol of atoms. The volume comes out at 349.3 Å³/f.u. For the total magnetization, the calculation gives 0.00 μB/f.u.

---

| no. | raw total energy (eV/atom) |
| --- | --- |
| 1 | -10.2098 |
| 2 | -4.1351 |